# 1
The following is a DFT calculation (PBE-GGA) of an optimized crystal structure of Pm5Sm8Th.

Density of states at the Fermi level ... 22.83 states/eV/f.u.
DFT formation energy ... 26.36 kJ per mole of atoms
Calculated total energy ... -0.171 Ha/atom

abc: 8.5894 8.5896 8.5894
angles: 110.70 107.04 110.70
With the nearest neighbours (Å) after each atom.
Sites, in units of the cell vectors:
Sm1 0.6608 0.3958 0.9193  5 Pm 3.40-3.62, 4 Sm 3.63-3.78
Sm2 0.5698 0.9077 0.8382  5 Pm 3.22-3.60, 1 Th 3.24
Sm3 0.1618 0.7315 0.0695  5 Pm 3.22-3.60, 1 Th 3.24
Sm4 0.0807 0.7415 0.4765  5 Pm 3.40-3.62, 4 Sm 3.63-3.78
Sm5 0.3379 0.2685 0.4302  5 Pm 3.22-3.60, 1 Th 3.24
Sm6 0.7351 0.2585 0.3392  5 Pm 3.40-3.62, 4 Sm 3.63-3.78
Sm7 0.9305 0.0923 0.6621  5 Pm 3.22-3.60, 1 Th 3.24
Sm8 0.5235 0.6042 0.2650  5 Pm 3.40-3.62, 4 Sm 3.63-3.78
Pm1 0.8691 0.8992 0.1880  8 Sm 3.38-3.62, 2 Pm 3.64
Pm2 0.8120 0.6812 0.7112  8 Sm 3.38-3.62, 2 Pm 3.64
Pm3 0.0300 0.3188 0.1308  8 Sm 3.38-3.62, 2 Pm 3.64
Pm4 0.5000 0.0000 0.5000  8 Sm 3.22-3.40
Pm5 0.2888 0.1008 0.9700  8 Sm 3.38-3.62, 2 Pm 3.64
Th1 0.2500 0.5000 0.7500  4 Sm 3.24

# 2
The following is a DFT calculation (PBE-GGA) of an optimized crystal structure of Ta2TlTe.

Density of states at the Fermi level ... 3.78 states/eV/f.u.
Formation energy from raw total energies ... 0.5554 eV per atom
Energy relative to the lowest polymorph listed for this composition ... 0.386 eV per atom
Calculated total energy ... -0.248 Ha/atom

abc: 4.8494 4.8494 4.8494
angles: 60.00 60.00 60.00
With the nearest neighbours (Å) after each atom.
Sites, in units of the cell vectors:
Ta1 0.2500 0.2500 0.2500  4 Tl 2.97, 4 Te 2.97
Ta2 0.7500 0.7500 0.7500  4 Tl 2.97, 4 Te 2.97
Te1 0.0000 0.0000 0.0000  8 Ta 2.97
Tl1 0.5000 0.5000 0.5000  8 Ta 2.97

# 3
The following is a DFT calculation (PBE-GGA) of an optimized crystal structure of CdHgPbCl6.

Density of states at the Fermi level ... 0.00 states/eV/f.u.
Formation energy from raw total energies ... -0.9219 eV per atom
Calculated total energy ... -0.099 Ha/atom

abc: 6.8777 6.8777 12.6079
angles: 90.00 90.00 120.00
With the nearest neighbours (Å) after each atom.
Sites, in units of the cell vectors:
Cl1 0.9948 0.6440 0.3694  1 Cd 2.67, 1 Hg 2.71, 1 Pb 2.94
Cl2 0.6440 0.6493 0.6306  1 Cd 2.67, 1 Hg 2.71, 1 Pb 2.94
Cl3 0.6493 0.0052 0.3694  1 Cd 2.67, 1 Hg 2.71, 1 Pb 2.94
Cl4 0.0052 0.6493 0.8694  1 Cd 2.67, 1 Hg 2.71, 1 Pb 2.94
Cl5 0.3507 0.3560 0.8694  1 Cd 2.67, 1 Hg 2.71, 1 Pb 2.94
Cl6 0.0052 0.3560 0.6306  1 Cd 2.67, 1 Hg 2.71, 1 Pb 2.94
Cl7 0.3560 0.0052 0.1306  1 Cd 2.67, 1 Hg 2.71, 1 Pb 2.94
Cl8 0.3507 0.9948 0.6306  1 Cd 2.67, 1 Hg 2.71, 1 Pb 2.94
Cl9 0.9948 0.3507 0.1306  1 Cd 2.67, 1 Hg 2.71, 1 Pb 2.94
Cl10 0.3560 0.3507 0.3694  1 Cd 2.67, 1 Hg 2.71, 1 Pb 2.94
Cl11 0.6440 0.9948 0.8694  1 Cd 2.67, 1 Hg 2.71, 1 Pb 2.94
Cl12 0.6493 0.6440 0.1306  1 Cd 2.67, 1 Hg 2.71, 1 Pb 2.94
Cd1 0.6667 0.3333 0.2500  6 Cl 2.67
Cd2 0.3333 0.6667 0.7500  6 Cl 2.67
Pb1 0.0000 0.0000 0.5000  6 Cl 2.94
Pb2 0.0000 0.0000 0.0000  6 Cl 2.94
Hg1 0.6667 0.3333 0.7500  6 Cl 2.71
Hg2 0.3333 0.6667 0.2500  6 Cl 2.71

# 4
The following is a DFT calculation (PBE-GGA) of an optimized crystal structure of PrSm4Er.

Density of states at the Fermi level ... 10.73 states/eV/f.u.
Energy relative to the lowest polymorph listed for this composition ... 0.000 eV per atom
DFT formation energy ... 10.77 kJ per mole of atoms
Calculated total energy ... -0.169 Ha/atom

abc: 6.3830 6.3830 6.0606
angles: 89.76 89.76 55.11
With the nearest neighbours (Å) after each atom.
Sites, in units of the cell vectors:
Sm1 0.6753 0.6753 0.0438  1 Pr 3.40, 4 Sm 3.44-3.49, 3 Er 3.57-3.68
Sm2 0.1738 0.1738 0.4550  1 Er 3.39, 4 Sm 3.46-3.49, 3 Pr 3.56-3.70
Sm3 0.3247 0.3247 0.9562  1 Pr 3.40, 4 Sm 3.44-3.49, 3 Er 3.57-3.68
Sm4 0.8262 0.8262 0.5450  1 Er 3.39, 4 Sm 3.46-3.49, 3 Pr 3.56-3.70
Pr1 0.5000 0.5000 0.5000  8 Sm 3.40-3.70
Er1 0.0000 0.0000 0.0000  8 Sm 3.39-3.68

# 5
The following is a DFT calculation (PBE-GGA) of an optimized crystal structure of BaSrW2.

Density of states at the Fermi level ... 4.94 states/eV/f.u.
Energy relative to the lowest polymorph listed for this composition ... 0.000 eV per atom
DFT formation energy ... 70.07 kJ per mole of atoms
Calculated total energy ... -0.244 Ha/atom

abc: 3.4873 3.4863 10.6134
angles: 70.49 90.00 90.00
With the nearest neighbours (Å) after each atom.
Sites, in units of the cell vectors:
W1 0.5000 0.3328 0.1664  4 W 2.64
W2 0.0000 0.9284 0.0724  4 W 2.64
Sr1 0.5000 0.6773 0.8280  5 W 3.39-3.47, 4 Sr 3.49
Ba1 0.0000 0.5615 0.4332  4 Ba 3.49, 5 W 3.61-3.63

# 6
The following is a DFT calculation (PBE-GGA) of an optimized crystal structure of Mg2CoH5.

Density of states at the Fermi level ... 1.89 states/eV/f.u.
Energy relative to the lowest polymorph listed for this composition ... 0.195 eV per atom
Calculated total energy ... -0.127 Ha/atom

abc: 3.7570 4.9011 8.5362
angles: 90.00 90.00 112.54
With the nearest neighbours (Å) after each atom.
Sites, in units of the cell vectors:
H1 0.9346 0.8692 0.8699  1 Co 1.62
H2 0.0654 0.1308 0.1301  1 Co 1.62
H3 0.6773 0.3547 0.6066  1 Co 1.63
H4 0.9346 0.8692 0.6301  1 Co 1.62
H5 0.3227 0.6453 0.1066  1 Co 1.63
H6 0.6773 0.3547 0.8934  1 Co 1.63
H7 0.6942 0.3884 0.2500  2 Co 1.88, 2 Mg 2.07
H8 0.3058 0.6116 0.7500  2 Co 1.88, 2 Mg 2.07
H9 0.3227 0.6453 0.3934  1 Co 1.63
H10 0.0654 0.1308 0.3699  1 Co 1.62
Co1 0.2043 0.4085 0.2500  4 H 1.62-1.63
Co2 0.7957 0.5915 0.7500  4 H 1.62-1.63
Mg1 0.8546 0.7091 0.0779  5 H 1.92-2.07
Mg2 0.8546 0.7091 0.4221  5 H 1.92-2.07
Mg3 0.1454 0.2909 0.5779  5 H 1.92-2.07
Mg4 0.1454 0.2909 0.9221  5 H 1.92-2.07

# 7
The following is a DFT calculation (PBE-GGA) of an optimized crystal structure of UCdGa.

Density of states at the Fermi level ... 4.83 states/eV/f.u.
DFT formation energy ... 28.59 kJ per mole of atoms
Calculated total energy ... -0.176 Ha/atom

abc: 5.3876 5.1313 6.5524
angles: 77.54 65.72 58.33
With the nearest neighbours (Å) after each atom.
Sites, in units of the cell vectors:
U1 0.2500 0.5000 0.5000  2 U 2.69
U2 0.7500 0.5000 0.5000  2 U 2.69
Cd1 0.1662 0.6675 0.0000  3 Cd 2.90-3.07, 2 Ga 3.22
Cd2 0.8338 0.3325 0.0000  3 Cd 2.90-3.07, 2 Ga 3.22
Ga1 0.3862 0.0000 0.2277  1 Ga 2.72, 4 U 3.04
Ga2 0.6138 0.0000 0.7723  1 Ga 2.72, 4 U 3.04

# 8
The following is a DFT calculation (PBE-GGA) of an optimized crystal structure of LiGdPtRh.

Density of states at the Fermi level ... 1.28 states/eV/f.u.
DFT formation energy ... -64.28 kJ per mole of atoms
Calculated total energy ... -0.294 Ha/atom

abc: 4.6410 4.6410 4.6410
angles: 60.00 60.00 60.00
With the nearest neighbours (Å) after each atom.
Sites, in units of the cell vectors:
Rh1 0.2500 0.2500 0.2500  4 Gd 2.84, 4 Li 2.84
Gd1 0.0000 0.0000 0.0000  4 Rh 2.84, 4 Pt 2.84
Pt1 0.7500 0.7500 0.7500  4 Gd 2.84, 4 Li 2.84
Li1 0.5000 0.5000 0.5000  4 Pt 2.84, 4 Rh 2.84

# 9
The following is a DFT calculation (PBE-GGA) of an optimized crystal structure of ScInSbH2.

Density of states at the Fermi level ... 4.06 states/eV/f.u.
Calculated total energy ... -0.134 Ha/atom

abc: 4.1856 5.8928 4.1856
angles: 90.00 90.00 90.00
With the nearest neighbours (Å) after each atom.
Sites, in units of the cell vectors:
Sc1 0.0000 0.5000 0.0000  2 Sb 2.95, 4 In 2.96
H1 0.0000 0.0000 0.5000  2 Sb 2.09
H2 0.5000 0.0000 0.0000  2 Sb 2.09
Sb1 0.0000 0.0000 0.0000  4 H 2.09
In1 0.5000 0.5000 0.5000  4 Sc 2.96

# 10
The following is a DFT calculation (PBE-GGA) of an optimized crystal structure of VSb2PI.

Density of states at the Fermi level ... 5.32 states/eV/f.u.
Formation energy from raw total energies ... 0.7594 eV per atom
Energy relative to the lowest polymorph listed for this composition ... 0.612 eV per atom
Calculated total energy ... -0.151 Ha/atom

abc: 5.2230 5.2230 5.1154
angles: 90.00 90.00 90.00
With the nearest neighbours (Å) after each atom.
Sites, in units of the cell vectors:
P1 0.5000 0.5000 0.5000  8 Sb 3.66, 4 I 3.69
Sb1 0.5000 0.0000 0.0000  2 V 2.61
Sb2 0.0000 0.5000 0.0000  2 V 2.61
V1 0.0000 0.0000 0.0000  2 I 2.56, 4 Sb 2.61
I1 0.0000 0.0000 0.5000  2 V 2.56

# 11
The following is a DFT calculation (PBE-GGA) of an optimized crystal structure of Mg2RuSe.

Density of states at the Fermi level ... 1.54 states/eV/f.u.
Formation energy from raw total energies ... -0.2869 eV per atom
Calculated total energy ... -0.157 Ha/atom

abc: 6.2118 6.2118 6.2118
angles: 150.72 138.71 51.42
With the nearest neighbours (Å) after each atom.
Sites, in units of the cell vectors:
Ru1 0.4822 0.4822 0.0000  2 Se 2.45, 4 Mg 2.71
Mg1 0.6949 0.1949 0.5000  2 Ru 2.85, 4 Se 3.01, 4 Mg 3.02-3.14
Mg2 0.0089 0.0089 0.0000  4 Ru 2.71, 2 Mg 3.02
Se1 0.3140 0.8140 0.5000  2 Ru 2.45

# 12
The following is a DFT calculation (PBE-GGA) of an optimized crystal structure of Nb2CuF.

Density of states at the Fermi level ... 1.92 states/eV/f.u.
Formation energy from raw total energies ... -0.1142 eV per atom
Energy relative to the lowest polymorph listed for this composition ... 0.000 eV per atom
Calculated total energy ... -0.244 Ha/atom

abc: 4.3387 4.3387 4.3387
angles: 60.00 60.00 60.00
With the nearest neighbours (Å) after each atom.
Sites, in units of the cell vectors:
Nb1 0.7500 0.7500 0.7500  4 Cu 2.66, 4 F 2.66
Nb2 0.2500 0.2500 0.2500  4 Cu 2.66, 4 F 2.66
F1 0.0000 0.0000 0.0000  8 Nb 2.66
Cu1 0.5000 0.5000 0.5000  8 Nb 2.66